Entry 1:
Material: Ba2GaSbTe5
Method: DFT, SCAN
State: PBEsol geometry

a = 9.547 Å, b = 9.717 Å, c = 13.457 Å
α = 90.00°, β = 90.00°, γ = 90.00°
Fractional coordinates of all 36 atoms:
Ba: 0.007 0.122 0.824
Ba: 0.493 0.378 0.324
Ba: 0.507 0.878 0.176
Ba: 0.993 0.622 0.676
Ba: 0.993 0.878 0.176
Ba: 0.507 0.622 0.676
Ba: 0.493 0.122 0.824
Ba: 0.007 0.378 0.324
Ga: 0.250 0.338 0.599
Ga: 0.250 0.162 0.099
Ga: 0.750 0.662 0.401
Ga: 0.750 0.838 0.901
Sb: 0.250 0.977 0.527
Sb: 0.250 0.523 0.027
Sb: 0.750 0.023 0.473
Sb: 0.750 0.477 0.973
Te: 0.031 0.179 0.558
Te: 0.469 0.321 0.058
Te: 0.531 0.821 0.442
Te: 0.969 0.679 0.942
Te: 0.969 0.821 0.442
Te: 0.531 0.679 0.942
Te: 0.469 0.179 0.558
Te: 0.031 0.321 0.058
Te: 0.250 0.879 0.724
Te: 0.250 0.621 0.224
Te: 0.750 0.121 0.276
Te: 0.750 0.379 0.776
Te: 0.250 0.394 0.789
Te: 0.250 0.106 0.289
Te: 0.750 0.606 0.211
Te: 0.750 0.894 0.711
Te: 0.250 0.945 0.989
Te: 0.250 0.555 0.489
Te: 0.750 0.055 0.011
Te: 0.750 0.445 0.511

The total moment is 0.000 μB/f.u. The energy is -328.293 eV per formula unit. The value obtained for the density is 5.87 g/cm³. Its space group is Pnma (62).


Entry 2:
Material: RbTePbI2
Method: DFT, SCAN
State: PBEsol geometry

a = 5.799 Å, b = 6.226 Å, c = 6.226 Å
α = 90.00°, β = 90.00°, γ = 90.00°
Fractional coordinates of all 5 atoms:
Pb: 0.000 0.000 0.000
I: 0.000 0.000 0.500
I: 0.000 0.500 0.000
Te: 0.500 0.000 0.000
Rb: 0.500 0.500 0.500

The total moment is 0.003 μB/f.u. The energy is -210.600 eV per formula unit. The value obtained for the density is 4.98 g/cm³. Its space group is P4/mmm (123).


Entry 3:
Material: SbC3Se
Method: DFT, SCAN
State: PBEsol geometry

a = 4.225 Å, b = 4.225 Å, c = 4.225 Å
α = 90.00°, β = 90.00°, γ = 90.00°
Last column: magnetic moment on the atom in μB.
Fractional coordinates of all 5 atoms:
Sb: 0.000 0.000 0.000  -0.04
C: 0.000 0.500 0.000  0.48
C: 0.000 0.000 0.500  0.48
C: 0.500 0.000 0.000  0.48
Se: 0.500 0.500 0.500  -0.25

The total moment is 2.361 μB/f.u. The energy is -72.439 eV per formula unit. The value obtained for the density is 5.21 g/cm³. Its space group is Pm-3m (221).


Entry 4:
Material: KPRu
Method: DFT, SCAN
State: PBEsol geometry

a = 3.741 Å, b = 3.741 Å, c = 5.680 Å
α = 90.00°, β = 90.00°, γ = 120.00°
Fractional coordinates of all 3 atoms:
K: 0.000 0.000 0.983
P: 0.333 0.667 0.547
Ru: 0.667 0.333 0.471

The total moment is 0.000 μB/f.u. The energy is -54.372 eV per formula unit. The value obtained for the density is 4.13 g/cm³. The value obtained for the formation energy is -0.8 eV/f.u. Its space group is P3m1 (156).


Entry 5:
Material: VMoO5
Method: DFT, SCAN
State: PBEsol geometry

a = 4.370 Å, b = 6.575 Å, c = 6.575 Å
α = 90.00°, β = 90.00°, γ = 90.00°
Last column: magnetic moment on the atom in μB.
Fractional coordinates of all 14 atoms:
V: 0.163 0.500 0.000  0.91
V: 0.837 0.000 0.500  0.91
Mo: 0.500 0.000 0.000  0.14
Mo: 0.500 0.500 0.500  0.14
O: 0.263 0.781 0.000  0.00
O: 0.263 0.500 0.719  0.00
O: 0.263 0.500 0.281  0.00
O: 0.263 0.219 0.000  0.00
O: 0.795 0.500 0.000  -0.10
O: 0.205 0.000 0.500  -0.10
O: 0.737 0.281 0.500  0.00
O: 0.737 0.000 0.219  0.00
O: 0.737 0.000 0.781  0.00
O: 0.737 0.719 0.500  0.00

The total moment is 0.988 μB/f.u. The energy is -99.698 eV per formula unit. The value obtained for the density is 3.99 g/cm³. The offset from the most stable computed form is 0 meV per atom. Its space group is P4/nmm (129).


Entry 6:
Material: CrHg2PtW
Method: DFT, SCAN
State: PBEsol geometry

a = 4.488 Å, b = 4.867 Å, c = 4.867 Å
α = 90.00°, β = 90.00°, γ = 90.00°
Last column: magnetic moment on the atom in μB.
Fractional coordinates of all 5 atoms:
W: 0.500 0.500 0.500  2.75
Cr: 0.000 0.000 0.000  3.07
Hg: 0.000 0.000 0.500  0.05
Hg: 0.000 0.500 0.000  0.05
Pt: 0.500 0.000 0.000  -0.06

The total moment is 6.658 μB/f.u. The energy is -286.063 eV per formula unit. The value obtained for the density is 13.00 g/cm³. The value obtained for the formation energy is 8.5 eV/f.u. Its space group is P4/mmm (123).


Entry 7:
Material: Ta2SnBi
Method: DFT, SCAN
State: PBEsol geometry

a = 4.837 Å, b = 4.837 Å, c = 4.837 Å
α = 60.00°, β = 60.00°, γ = 60.00°
Fractional coordinates of all 4 atoms:
Bi: 0.500 0.500 0.500
Sn: 0.000 0.000 0.000
Ta: 0.250 0.250 0.250
Ta: 0.750 0.750 0.750

The total moment is 0.000 μB/f.u. The energy is -245.593 eV per formula unit. The value obtained for the density is 14.31 g/cm³. The value obtained for the formation energy is 2.1 eV/f.u. Its space group is Fm-3m (225).


Entry 8:
Material: NiHg3H
Method: DFT, SCAN
State: PBEsol geometry

a = 4.939 Å, b = 4.939 Å, c = 4.939 Å
α = 90.00°, β = 90.00°, γ = 90.00°
Last column: magnetic moment on the atom in μB.
Fractional coordinates of all 5 atoms:
Ni: 0.000 0.000 0.000  0.09
Hg: 0.000 0.500 0.000  0.01
Hg: 0.000 0.000 0.500  0.01
Hg: 0.500 0.000 0.000  0.01
H: 0.500 0.500 0.500  0.34

The total moment is 0.962 μB/f.u. The energy is -221.291 eV per formula unit. The value obtained for the density is 9.12 g/cm³. Its space group is Pm-3m (221).


Entry 9:
Material: BaHRh2
Method: DFT, SCAN
State: PBEsol geometry

a = 5.687 Å, b = 5.687 Å, c = 5.687 Å
α = 60.00°, β = 60.00°, γ = 60.00°
Fractional coordinates of all 8 atoms:
H: 0.250 0.250 0.250
H: 0.000 0.000 0.000
Rh: 0.125 0.125 0.625
Rh: 0.125 0.125 0.125
Rh: 0.625 0.125 0.125
Rh: 0.125 0.625 0.125
Ba: 0.750 0.750 0.750
Ba: 0.500 0.500 0.500

The total moment is 0.000 μB/f.u. The energy is -111.551 eV per formula unit. The value obtained for the density is 8.79 g/cm³. Its space group is Fd-3m (227).


Entry 10:
Material: ZnRh3Br
Method: DFT, SCAN
State: PBEsol geometry

a = 4.547 Å, b = 4.547 Å, c = 4.547 Å
α = 90.00°, β = 90.00°, γ = 90.00°
Last column: magnetic moment on the atom in μB.
Fractional coordinates of all 5 atoms:
Zn: 0.000 0.000 0.000  -0.04
Rh: 0.000 0.500 0.000  1.22
Rh: 0.000 0.000 0.500  1.22
Rh: 0.500 0.000 0.000  1.22
Br: 0.500 0.500 0.500  0.16

The total moment is 3.840 μB/f.u. The energy is -128.403 eV per formula unit. The value obtained for the density is 8.02 g/cm³. Its space group is Pm-3m (221).


Entry 11:
Material: Li2AlMo
Method: DFT, SCAN
State: PBEsol geometry

a = 2.666 Å, b = 4.642 Å, c = 4.873 Å
α = 90.00°, β = 90.00°, γ = 90.00°
Fractional coordinates of all 4 atoms:
Mo: 0.500 0.000 0.500
Al: 0.000 0.500 0.500
Li: 0.000 0.000 0.000
Li: 0.500 0.500 0.000

The total moment is 0.003 μB/f.u. The energy is -46.831 eV per formula unit. The value obtained for the density is 3.77 g/cm³. The value obtained for the formation energy is 0.6 eV/f.u. Its space group is Pmmm (47).


Entry 12:
Material: Zn2GaSn2
Method: DFT, SCAN
State: PBEsol geometry

a = 4.381 Å, b = 6.802 Å, c = 6.802 Å
α = 90.00°, β = 90.00°, γ = 90.00°
Fractional coordinates of all 10 atoms:
Zn: 0.000 0.370 0.870
Zn: 0.000 0.870 0.630
Zn: 0.000 0.630 0.130
Zn: 0.000 0.130 0.370
Sn: 0.500 0.179 0.679
Sn: 0.500 0.679 0.821
Sn: 0.500 0.821 0.321
Sn: 0.500 0.321 0.179
Ga: 0.000 0.000 0.000
Ga: 0.000 0.500 0.500

The total moment is 0.000 μB/f.u. The energy is -114.216 eV per formula unit. The value obtained for the density is 7.18 g/cm³. The value obtained for the formation energy is 1.0 eV/f.u. Its space group is P4/mbm (127).


Entry 13:
Material: BP2AuO
Method: DFT, SCAN
State: PBEsol geometry

a = 3.796 Å, b = 4.794 Å, c = 4.794 Å
α = 90.00°, β = 90.00°, γ = 90.00°
Last column: magnetic moment on the atom in μB.
Fractional coordinates of all 5 atoms:
P: 0.000 0.000 0.500  0.03
P: 0.000 0.500 0.000  0.03
B: 0.500 0.500 0.500  0.01
Au: 0.000 0.000 0.000  0.02
O: 0.500 0.000 0.000  0.14

The total moment is 0.286 μB/f.u. The energy is -95.046 eV per formula unit. The value obtained for the density is 5.44 g/cm³. Its space group is P4/mmm (123).